Er4Ga2Te after structural relaxation, computed with PBE.

The raw total energy is -4.6330 eV per atom. As for the uncorrected formation energy: -0.71 eV per atom.

The space group is I-42d (No. 122) and the conventional cell measures 8.969, 8.969 and 8.888 Å, with angles of 90.00, 90.00 and 90.00 degrees. Symmetry generates all atoms from Er at (0.073, 0.676, 0.434), Ga at (0.134, 0.750, 0.125) and Te at (0.000, 0.000, 0.500).